No. 1
This record from Alexandria via LeMat-Bulk describes an optimized crystal structure of Pr2SmY2Er. The functional is PBE.

Cell: 6.6665 18.2023 3.4098 Å, 90.00 90.00 90.00°
Positions (direct):
Pr 0.2293 0.1845 0.0000
Pr 0.2707 0.6845 0.5000
Pr 0.7293 0.3155 0.5000
Pr 0.7707 0.8155 0.0000
Sm 0.0000 0.5000 0.0000
Sm 0.5000 0.0000 0.5000
Y 0.2269 0.3543 0.5000
Y 0.2731 0.8543 0.0000
Y 0.7269 0.1457 0.0000
Y 0.7731 0.6457 0.5000
Er 0.0000 0.0000 0.0000
Er 0.5000 0.5000 0.5000

Calculated values
As for the total energy: -5.02 eV per atom. Its energy of formation is 0.270 eV per atom. The density of states at the Fermi level is 20.82 states/eV per cell.

***

No. 2
This record from Alexandria via LeMat-Bulk describes an optimized crystal structure of CePmPu2. The functional is PBE.

Cell: 5.4799 5.4799 5.4799 Å, 60.00 60.00 60.00°
Positions (direct):
Ce 0.0000 0.0000 0.0000
Pm 0.5000 0.5000 0.5000
Pu 0.2500 0.2500 0.2500
Pu 0.7500 0.7500 0.7500

Calculated values
As for the total energy: -9.59 eV per atom. Its energy of formation is 0.244 eV per atom. Its relative energy among the computed polymorphs is 77 meV per atom. The density of states at the Fermi level is 12.97 states/eV per cell.